(1)
VASP calculation (PBE-GGA) on crystalline BeCr2Pb at its relaxed geometry.

Results
Polymorph energy (0 for the lowest one) = 0.00 eV per formula unit
Calculated density = 8837 kg/m3

```
data_BeCr2Pb
_chemical_formula_sum 'Be1 Cr2 Pb1'
_space_group_name_H-M_alt 'P 4 m m'
_space_group_IT_number 99
_space_group_name_Hall 'P 4 -2'
_cell_length_a 3.0785
_cell_length_b 3.0785
_cell_length_c 6.3487
_cell_angle_alpha 90.00
_cell_angle_beta 90.00
_cell_angle_gamma 90.00
loop_
_atom_site_label
_atom_site_type_symbol
_atom_site_fract_x
_atom_site_fract_y
_atom_site_fract_z
Be1 Be 0.0000 0.0000 0.0000
Cr1 Cr 0.0000 0.0000 0.3641
Cr2 Cr 0.5000 0.5000 0.1626
Pb1 Pb 0.5000 0.5000 0.6861
```

=====

(2)
VASP calculation (PBE-GGA) on crystalline BeCrPb2 at its relaxed geometry.

Results
Calculated density = 8935 kg/m3

```
data_BeCrPb2
_chemical_formula_sum 'Be2 Cr2 Pb4'
_space_group_name_H-M_alt 'I m m 2'
_space_group_IT_number 44
_space_group_name_Hall 'I 2 -2'
_cell_length_a 3.5947
_cell_length_b 4.2170
_cell_length_c 11.6565
_cell_angle_alpha 90.00
_cell_angle_beta 90.00
_cell_angle_gamma 90.00
loop_
_atom_site_label
_atom_site_type_symbol
_atom_site_fract_x
_atom_site_fract_y
_atom_site_fract_z
Be1 Be 0.0000 0.0000 0.0000
Cr1 Cr 0.0000 0.5000 0.6358
Pb1 Pb 0.0000 0.0000 0.4316
Pb2 Pb 0.0000 0.5000 0.1961
```

=====

(3)
VASP calculation (PBE-GGA) on crystalline BeCr2Pb at its relaxed geometry.

Results
Polymorph energy (0 for the lowest one) = 0.97 eV per formula unit
Calculated density = 8322 kg/m3

```
data_BeCr2Pb
_chemical_formula_sum 'Be2 Cr4 Pb2'
_space_group_name_H-M_alt 'I 4/m m m'
_space_group_IT_number 139
_space_group_name_Hall '-I 4 2'
_cell_length_a 4.0843
_cell_length_b 4.0843
_cell_length_c 7.6604
_cell_angle_alpha 90.00
_cell_angle_beta 90.00
_cell_angle_gamma 90.00
loop_
_atom_site_label
_atom_site_type_symbol
_atom_site_fract_x
_atom_site_fract_y
_atom_site_fract_z
Be1 Be 0.0000 0.0000 0.0000
Cr1 Cr 0.0000 0.5000 0.2500
Pb1 Pb 0.0000 0.0000 0.5000
```

=====

(4)
VASP calculation (PBE-GGA) on crystalline BeCr2Pb at its relaxed geometry.

Results
Polymorph energy (0 for the lowest one) = 1.10 eV per formula unit
Calculated density = 9337 kg/m3

```
data_BeCr2Pb
_chemical_formula_sum 'Be2 Cr4 Pb2'
_space_group_name_H-M_alt 'I m m m'
_space_group_IT_number 71
_space_group_name_Hall '-I 2 2'
_cell_length_a 3.2826
_cell_length_b 4.2556
_cell_length_c 8.1528
_cell_angle_alpha 90.00
_cell_angle_beta 90.00
_cell_angle_gamma 90.00
loop_
_atom_site_label
_atom_site_type_symbol
_atom_site_fract_x
_atom_site_fract_y
_atom_site_fract_z
Be1 Be 0.0000 0.0000 0.0000
Cr1 Cr 0.0000 0.5000 0.2749
Pb1 Pb 0.0000 0.0000 0.5000
```

=====

no.,DFT total energy (eV per atom),spin magnetization (μB/atom)
1,-6.237,0.1359
2,-4.576,0.8595
3,-5.996,1.6184
4,-5.962,0.7286